1.
Below is BaPuF2 after structural relaxation, with properties calculated at the PBE level.

POSCAR file:
```
BaPuF2
1.0
2.106 1.216 6.829
-2.106 1.216 6.829
0.000 -2.432 6.829
Ba Pu F
1 1 2
Direct
0.000 0.000 0.000 Ba
0.500 0.500 0.500 Pu
0.134 0.134 0.134 F
0.866 0.866 0.866 F
```

ΔE_f (raw) = -2.36 eV per atom
SG = R-3m
raw total energy = -29.44 eV/cell

2.
Below is BeCu12Au3 after structural relaxation, with properties calculated at the PBE level.

POSCAR file:
```
BeCu12Au3
1.0
3.730 0.000 0.000
0.000 3.730 0.000
0.000 0.000 14.885
Be Cu Au
1 12 3
Direct
0.000 0.000 0.000 Be
0.000 0.500 0.109 Cu
0.000 0.500 0.370 Cu
0.000 0.500 0.630 Cu
0.000 0.500 0.891 Cu
0.500 0.000 0.109 Cu
0.500 0.000 0.370 Cu
0.500 0.000 0.630 Cu
0.500 0.000 0.891 Cu
0.500 0.500 0.000 Cu
0.500 0.500 0.239 Cu
0.500 0.500 0.500 Cu
0.500 0.500 0.761 Cu
0.000 0.000 0.240 Au
0.000 0.000 0.500 Au
0.000 0.000 0.760 Au
```

SG = P4/mmm
raw total energy = -63.03 eV/cell
ΔH_f (0 K) = -0.020 eV per atom

3.
Below is Na3Cr2As6W after structural relaxation, with properties calculated at the PBE level.

POSCAR file:
```
Na3Cr2As6W
1.0
2.825 -4.893 0.000
2.825 4.893 0.000
-1.885 0.000 8.096
Na Cr As W
3 2 6 1
Direct
0.000 0.000 0.000 Na
0.335 0.665 0.000 Na
0.665 0.335 0.000 Na
0.167 0.833 0.500 Cr
0.833 0.167 0.500 Cr
0.085 0.432 0.297 As
0.220 0.220 0.703 As
0.432 0.085 0.297 As
0.568 0.915 0.703 As
0.780 0.780 0.297 As
0.915 0.568 0.703 As
0.500 0.500 0.500 W
```

SG = C2/m
raw total energy = -66.04 eV/cell
ΔH_f (0 K) = -0.166 eV per atom

4.
Below is BPRhCl after structural relaxation, with properties calculated at the PBE level.

POSCAR file:
```
BPRhCl
1.0
3.366 0.000 0.000
1.421 3.097 0.000
1.439 1.214 6.956
B P Rh Cl
1 1 1 1
Direct
0.000 0.000 0.000 B
0.522 0.766 0.109 P
0.481 0.426 0.855 Rh
0.637 0.975 0.606 Cl
```

ΔE_f (raw) = -0.08 eV per atom
SG = P1
relative energy among the computed polymorphs = 0.143 eV per atom
raw total energy = -21.60 eV/cell

no.,total magnetization (μB/cell),volume (Å³/cell)
1,6.57,105
2,0.00,207
3,0.00,224
4,0.00,73